Below is a geometry-optimized NpAlFe2H6 structure, with properties calculated at the PBE level.

The value obtained for the total moment is 2.0 μB/cell. Its energy is -55.10 eV for the cell shown.

Cell: 5.626 5.626 5.626 Å, 43.93 43.93 43.93°
Sites, in units of the cell vectors:
Np1 0.000 0.000 0.000
Al1 0.500 0.500 0.500
Fe1 0.207 0.207 0.207
Fe2 0.793 0.793 0.793
H1 0.066 0.560 0.560
H2 0.440 0.440 0.934
H3 0.440 0.934 0.440
H4 0.560 0.066 0.560
H5 0.560 0.560 0.066
H6 0.934 0.440 0.440

=====

Below is a geometry-optimized Nd5ZnTe2 structure, with properties calculated at the PBE level.

As for the formation energy without anion corrections: -0.525 eV/atom. The value obtained for the total moment is 0.0 μB/cell. Its energy is -71.19 eV for the cell shown.

Cell: 7.271 7.271 13.361 Å, 90.00 90.00 129.76°
Sites, in units of the cell vectors:
Nd1 0.053 0.947 0.612
Nd2 0.053 0.947 0.888
Nd3 0.363 0.637 0.250
Nd4 0.375 0.625 0.567
Nd5 0.375 0.625 0.933
Nd6 0.625 0.375 0.067
Nd7 0.625 0.375 0.433
Nd8 0.637 0.363 0.750
Nd9 0.947 0.053 0.112
Nd10 0.947 0.053 0.388
Zn1 0.235 0.765 0.750
Zn2 0.765 0.235 0.250
Te1 0.185 0.815 0.088
Te2 0.185 0.815 0.412
Te3 0.815 0.185 0.588
Te4 0.815 0.185 0.912

=====

Below is a geometry-optimized CdCuH6Ir2 structure, with properties calculated at the PBE level.

The value obtained for the total moment is 0.0 μB/cell. Its energy is -83.54 eV for the cell shown.

Cell: 6.604 6.604 4.698 Å, 102.34 102.34 99.04°
Sites, in units of the cell vectors:
Cd1 0.120 0.880 0.750
Cd2 0.880 0.120 0.250
Cu1 0.293 0.707 0.250
Cu2 0.707 0.293 0.750
H1 0.017 0.438 0.632
H2 0.261 0.330 0.255
H3 0.307 0.522 0.932
H4 0.330 0.261 0.755
H5 0.438 0.017 0.132
H6 0.478 0.693 0.568
H7 0.522 0.307 0.432
H8 0.562 0.983 0.868
H9 0.670 0.739 0.245
H10 0.693 0.478 0.068
H11 0.739 0.670 0.745
H12 0.983 0.562 0.368
Ir1 0.112 0.321 0.879
Ir2 0.321 0.112 0.379
Ir3 0.679 0.888 0.621
Ir4 0.888 0.679 0.121

=====

Below is a geometry-optimized Tm4Pu structure, with properties calculated at the PBE level.

For the energy of formation, the calculation gives 0.574 eV/atom. The value obtained for the total moment is 6.6 μB/cell. Its energy is -29.35 eV for the cell shown. Its polymorph energy (0 for the lowest one) is 49.59 kJ/mol of atoms.

Cell: 5.446 5.446 5.446 Å, 90.00 90.00 90.00°
Sites, in units of the cell vectors:
Tm1 0.000 0.000 0.000
Tm2 0.000 0.500 0.500
Tm3 0.500 0.000 0.500
Tm4 0.500 0.500 0.000
Pu1 0.500 0.500 0.500

=====

Below is a geometry-optimized EuPaSb2 structure, with properties calculated at the PBE level.

As for the formation energy without anion corrections: -0.767 eV/atom. The value obtained for the total moment is 7.8 μB/cell. Its energy is -31.08 eV for the cell shown. Its polymorph energy (0 for the lowest one) is 0.00 kJ/mol of atoms.

Cell: 7.852 7.852 7.852 Å, 33.02 33.02 33.02°
Sites, in units of the cell vectors:
Eu1 0.000 0.000 0.000
Pa1 0.500 0.500 0.500
Sb1 0.244 0.244 0.244
Sb2 0.756 0.756 0.756

=====

Below is a geometry-optimized Be2AgMo structure, with properties calculated at the PBE level.

For the energy of formation, the calculation gives 0.476 eV/atom. The value obtained for the total moment is 0.5 μB/cell. Its energy is -19.23 eV for the cell shown. Its polymorph energy (0 for the lowest one) is 33.81 kJ/mol of atoms.

Cell: 4.899 4.899 4.899 Å, 138.22 138.22 60.56°
Sites, in units of the cell vectors:
Be1 0.000 0.000 0.000
Be2 0.750 0.250 0.500
Ag1 0.500 0.500 0.000
Mo1 0.250 0.750 0.500

=====

Below is a geometry-optimized Li5TlAg2Hg2 structure, with properties calculated at the PBE level.

For the energy of formation, the calculation gives -0.180 eV/atom. The value obtained for the total moment is 0.0 μB/cell. Its energy is -40.08 eV for the cell shown.

Cell: 9.918 9.918 3.899 Å, 90.00 90.00 90.00°
Sites, in units of the cell vectors:
Li1 0.000 0.500 0.000
Li2 0.126 0.171 0.000
Li3 0.171 0.874 0.000
Li4 0.329 0.374 0.000
Li5 0.374 0.671 0.000
Li6 0.500 0.000 0.000
Li7 0.626 0.329 0.000
Li8 0.671 0.626 0.000
Li9 0.829 0.126 0.000
Li10 0.874 0.829 0.000
Tl1 0.000 0.000 0.500
Tl2 0.500 0.500 0.500
Ag1 0.136 0.364 0.500
Ag2 0.364 0.864 0.500
Ag3 0.636 0.136 0.500
Ag4 0.864 0.636 0.500
Hg1 0.158 0.658 0.500
Hg2 0.342 0.158 0.500
Hg3 0.658 0.842 0.500
Hg4 0.842 0.342 0.500

=====

Below is a geometry-optimized MnBe2Re structure, with properties calculated at the PBE level.

For the energy of formation, the calculation gives 0.055 eV/atom. The value obtained for the total moment is 1.7 μB/cell. Its energy is -28.85 eV for the cell shown. Its polymorph energy (0 for the lowest one) is 16.42 kJ/mol of atoms.

Cell: 4.445 4.445 2.526 Å, 98.31 98.31 112.56°
Sites, in units of the cell vectors:
Mn1 0.000 0.000 0.000
Be1 0.000 0.500 0.500
Be2 0.500 0.000 0.500
Re1 0.500 0.500 0.000

=====

Below is a geometry-optimized SmScPd structure, with properties calculated at the PBE level.

For the energy of formation, the calculation gives -0.514 eV/atom. The value obtained for the total moment is 0.0 μB/cell. Its energy is -17.79 eV for the cell shown. Its polymorph energy (0 for the lowest one) is 6.68 kJ/mol of atoms.

Cell: 6.395 6.395 6.395 Å, 148.56 148.56 45.06°
Sites, in units of the cell vectors:
Sm1 0.000 0.000 0.000
Sc1 0.282 0.282 0.000
Pd1 0.669 0.669 0.000

=====

Below is a geometry-optimized KMg6Fe structure, with properties calculated at the PBE level.

For the energy of formation, the calculation gives 0.356 eV/atom. The value obtained for the total moment is 2.8 μB/cell. Its energy is -16.28 eV for the cell shown. Its polymorph energy (0 for the lowest one) is 15.94 kJ/mol of atoms.

Cell: 5.050 6.606 6.606 Å, 62.46 90.00 90.00°
Sites, in units of the cell vectors:
K1 0.000 0.000 0.000
Mg1 0.000 0.485 0.485
Mg2 0.000 0.529 0.968
Mg3 0.000 0.968 0.529
Mg4 0.500 0.313 0.313
Mg5 0.500 0.362 0.800
Mg6 0.500 0.800 0.362
Fe1 0.500 0.787 0.787

=====

Below is a geometry-optimized Tm2AlSi2Ru5 structure, with properties calculated at the PBE level.

As for the formation energy without anion corrections: -0.705 eV/atom. The value obtained for the total moment is 0.0 μB/cell. Its energy is -153.92 eV for the cell shown.

Cell: 9.889 9.889 3.223 Å, 90.00 90.00 90.00°
Sites, in units of the cell vectors:
Tm1 0.172 0.328 0.000
Tm2 0.328 0.828 0.000
Tm3 0.672 0.172 0.000
Tm4 0.828 0.672 0.000
Al1 0.000 0.000 0.000
Al2 0.500 0.500 0.000
Si1 0.129 0.629 0.000
Si2 0.371 0.129 0.000
Si3 0.629 0.871 0.000
Si4 0.871 0.371 0.000
Ru1 0.000 0.500 0.500
Ru2 0.067 0.794 0.500
Ru3 0.206 0.067 0.500
Ru4 0.294 0.567 0.500
Ru5 0.433 0.294 0.500
Ru6 0.500 0.000 0.500
Ru7 0.567 0.706 0.500
Ru8 0.706 0.433 0.500
Ru9 0.794 0.933 0.500
Ru10 0.933 0.206 0.500

=====

Below is a geometry-optimized LiTbPm2Tl4 structure, with properties calculated at the PBE level.

For the energy of formation, the calculation gives -0.349 eV/atom. The value obtained for the total moment is 0.0 μB/cell. Its energy is -28.30 eV for the cell shown.

Cell: 9.489 9.489 9.489 Å, 32.44 32.44 32.44°
Sites, in units of the cell vectors:
Li1 0.000 0.000 0.000
Tb1 0.500 0.500 0.500
Pm1 0.256 0.256 0.256
Pm2 0.744 0.744 0.744
Tl1 0.124 0.124 0.124
Tl2 0.374 0.374 0.374
Tl3 0.626 0.626 0.626
Tl4 0.876 0.876 0.876

=====

What did the eleventh record say?
Below is a geometry-optimized Tm2AlSi2Ru5 structure, with properties calculated at the PBE level.

As for the formation energy without anion corrections: -0.705 eV/atom. The value obtained for the total moment is 0.0 μB/cell. Its energy is -153.92 eV for the cell shown.

Cell: 9.889 9.889 3.223 Å, 90.00 90.00 90.00°
Sites, in units of the cell vectors:
Tm1 0.172 0.328 0.000
Tm2 0.328 0.828 0.000
Tm3 0.672 0.172 0.000
Tm4 0.828 0.672 0.000
Al1 0.000 0.000 0.000
Al2 0.500 0.500 0.000
Si1 0.129 0.629 0.000
Si2 0.371 0.129 0.000
Si3 0.629 0.871 0.000
Si4 0.871 0.371 0.000
Ru1 0.000 0.500 0.500
Ru2 0.067 0.794 0.500
Ru3 0.206 0.067 0.500
Ru4 0.294 0.567 0.500
Ru5 0.433 0.294 0.500
Ru6 0.500 0.000 0.500
Ru7 0.567 0.706 0.500
Ru8 0.706 0.433 0.500
Ru9 0.794 0.933 0.500
Ru10 0.933 0.206 0.500